Entry 1:
Sm8YTm6 after structural relaxation. Source: the Alexandria database, functional GGA-PBE.

Computed properties:
- DOS at the Fermi energy (states/eV per cell) = 22.5
- excess energy over the best structure of this formula in the dataset (meV per atom) = 0
- space-group type = No. 147

a = 6.4704 Å, b = 9.3633 Å, c = 9.3633 Å
α = 120.00°, β = 90.00°, γ = 90.00°
Fractional positions:
Tm1 0.3402 0.0951 0.4396
Tm2 0.6598 0.6555 0.0951
Tm3 0.6598 0.9049 0.5604
Tm4 0.3402 0.5604 0.6555
Tm5 0.3402 0.3445 0.9049
Tm6 0.6598 0.4396 0.3445
Sm1 0.8336 0.7128 0.7497
Sm2 0.8336 0.2503 0.9631
Sm3 0.1664 0.9631 0.7128
Sm4 0.8764 0.3333 0.6667
Sm5 0.1664 0.7497 0.0369
Sm6 0.8336 0.0369 0.2872
Sm7 0.1664 0.2872 0.2503
Sm8 0.1236 0.6667 0.3333
Y1 0.5000 0.0000 0.0000

***

Entry 2:
Sm8Y5Tm after structural relaxation. Source: the Alexandria database, functional GGA-PBE.

Computed properties:
- DOS at the Fermi energy (states/eV per cell) = 21.8
- space-group type = No. 5

a = 9.9987 Å, b = 7.5766 Å, c = 9.9987 Å
α = 113.05°, β = 112.90°, γ = 114.49°
Fractional positions:
Sm1 0.1026 0.6854 0.4352
Sm2 0.0957 0.6621 0.0691
Sm3 0.4713 0.6820 0.1374
Sm4 0.7498 0.3146 0.4172
Sm5 0.4070 0.3379 0.4336
Sm6 0.6547 0.0397 0.9518
Sm7 0.9122 0.9603 0.6150
Sm8 0.4555 0.3180 0.7894
Y1 0.8179 0.7032 0.8175
Y2 0.9229 0.9614 0.2500
Y3 0.5583 0.0000 0.5583
Y4 0.1143 0.2968 0.1147
Y5 0.2887 0.0386 0.9616
Tm1 0.1990 0.5000 0.6990

***

Entry 3:
Sm5Y2Tm3 after structural relaxation. Source: the Alexandria database, functional GGA-PBE.

Computed properties:
- DOS at the Fermi energy (states/eV per cell) = 32.5
- excess energy over the best structure of this formula in the dataset (meV per atom) = 209
- space-group type = No. 72

a = 6.7922 Å, b = 12.3568 Å, c = 12.3568 Å
α = 44.53°, β = 74.05°, γ = 74.05°
Fractional positions:
Sm1 0.7500 0.5000 0.5000
Sm2 0.2500 0.5000 0.5000
Sm3 0.4997 0.7503 0.7503
Sm4 0.3757 0.7208 0.5278
Sm5 0.0003 0.2497 0.2497
Sm6 0.6243 0.2792 0.4722
Sm7 0.1243 0.4722 0.2792
Sm8 0.8757 0.5278 0.7208
Sm9 0.5003 0.2497 0.2497
Sm10 0.9997 0.7503 0.7503
Tm1 0.7500 0.0000 0.0000
Tm2 0.2500 0.0000 0.0000
Tm3 0.6202 0.6324 0.1273
Tm4 0.3798 0.3676 0.8727
Tm5 0.1202 0.1273 0.6324
Tm6 0.8798 0.8727 0.3676
Y1 0.8761 0.2173 0.0305
Y2 0.3761 0.0305 0.2173
Y3 0.1239 0.7827 0.9695
Y4 0.6239 0.9695 0.7827

***

Entry 4:
SmY4Tm6 after structural relaxation. Source: the Alexandria database, functional GGA-PBE.

Computed properties:
- DOS at the Fermi energy (states/eV per cell) = 17.2
- excess energy over the best structure of this formula in the dataset (meV per atom) = 178
- space-group type = No. 121

a = 7.6002 Å, b = 7.6002 Å, c = 8.4555 Å
α = 116.71°, β = 116.71°, γ = 90.00°
Fractional positions:
Sm1 0.5000 0.5000 0.0000
Y1 0.9087 0.9087 0.1566
Y2 0.7521 0.0913 0.8434
Y3 0.2479 0.2479 0.1566
Y4 0.0913 0.7521 0.8434
Tm1 0.5619 0.5619 0.6381
Tm2 0.0000 0.5000 0.0000
Tm3 0.5000 0.0000 0.0000
Tm4 0.9238 0.4381 0.3619
Tm5 0.4381 0.9238 0.3619
Tm6 0.0762 0.0762 0.6381

***

Entry 5:
Sm19Y4Tm6 after structural relaxation. Source: the Alexandria database, functional GGA-PBE.

Computed properties:
- DOS at the Fermi energy (states/eV per cell) = 46.8
- space-group type = No. 197

a = 10.9075 Å, b = 10.9075 Å, c = 10.9075 Å
α = 109.47°, β = 109.47°, γ = 109.47°
Fractional positions:
Tm1 0.6257 0.5000 0.1257
Tm2 0.5000 0.1257 0.6257
Tm3 0.3743 0.5000 0.8743
Tm4 0.5000 0.8743 0.3743
Tm5 0.1257 0.6257 0.5000
Tm6 0.8743 0.3743 0.5000
Sm1 0.2630 0.2630 0.0000
Sm2 0.6744 0.6584 0.4576
Sm3 0.2008 0.2168 0.5424
Sm4 0.2630 0.0000 0.2630
Sm5 0.7370 0.7370 0.0000
Sm6 0.0000 0.7370 0.7370
Sm7 0.9840 0.3256 0.7832
Sm8 0.0000 0.2630 0.2630
Sm9 0.7832 0.9840 0.3256
Sm10 0.7992 0.3416 0.0160
Sm11 0.5424 0.2008 0.2168
Sm12 0.3416 0.0160 0.7992
Sm13 0.0000 0.0000 0.0000
Sm14 0.3256 0.7832 0.9840
Sm15 0.4576 0.6744 0.6584
Sm16 0.2168 0.5424 0.2008
Sm17 0.7370 0.0000 0.7370
Sm18 0.6584 0.4576 0.6744
Sm19 0.0160 0.7992 0.3416
Y1 0.0000 0.6415 0.0000
Y2 0.3585 0.3585 0.3585
Y3 0.0000 0.0000 0.6415
Y4 0.6415 0.0000 0.0000

***

Entry 6:
Sm10Y6Tm after structural relaxation. Source: the Alexandria database, functional GGA-PBE.

Computed properties:
- DOS at the Fermi energy (states/eV per cell) = 24.4
- space-group type = No. 162

a = 6.8819 Å, b = 9.7887 Å, c = 9.7887 Å
α = 120.00°, β = 90.00°, γ = 90.00°
Fractional positions:
Sm1 0.0000 0.6667 0.3333
Sm2 0.0000 0.3333 0.6667
Sm3 0.8150 0.2731 0.0000
Sm4 0.8150 0.7269 0.7269
Sm5 0.1850 0.7269 0.0000
Sm6 0.5000 0.6667 0.3333
Sm7 0.5000 0.3333 0.6667
Sm8 0.1850 0.0000 0.7269
Sm9 0.8150 0.0000 0.2731
Sm10 0.1850 0.2731 0.2731
Y1 0.6935 0.3721 0.3721
Y2 0.3065 0.0000 0.3721
Y3 0.3065 0.3721 0.0000
Y4 0.6935 0.6279 0.0000
Y5 0.6935 0.0000 0.6279
Y6 0.3065 0.6279 0.6279
Tm1 0.5000 0.0000 0.0000

***

Entry 7:
Sm4Y2Tm after structural relaxation. Source: the Alexandria database, functional GGA-PBE.

Computed properties:
- DOS at the Fermi energy (states/eV per cell) = 22.3
- excess energy over the best structure of this formula in the dataset (meV per atom) = 0
- space-group type = No. 11

a = 6.2874 Å, b = 6.5874 Å, c = 11.5125 Å
α = 90.00°, β = 105.01°, γ = 90.00°
Fractional positions:
Sm1 0.1457 0.7500 0.4523
Sm2 0.0513 0.7500 0.8675
Sm3 0.6536 0.5106 0.2850
Sm4 0.6536 0.9894 0.2850
Sm5 0.8543 0.2500 0.5477
Sm6 0.3464 0.4894 0.7150
Sm7 0.3464 0.0106 0.7150
Sm8 0.9487 0.2500 0.1325
Y1 0.7072 0.7500 0.5808
Y2 0.6178 0.7500 0.9913
Y3 0.2928 0.2500 0.4192
Y4 0.3822 0.2500 0.0087
Tm1 0.1553 0.7500 0.1668
Tm2 0.8447 0.2500 0.8332

***

Entry 8:
Sm3Y8Tm4 after structural relaxation. Source: the Alexandria database, functional GGA-PBE.

Computed properties:
- DOS at the Fermi energy (states/eV per cell) = 29.3
- space-group type = No. 12

a = 6.7206 Å, b = 9.2721 Å, c = 9.2721 Å
α = 87.03°, β = 111.21°, γ = 111.21°
Fractional positions:
Y1 0.5000 0.2490 0.7510
Y2 0.0255 0.2532 0.2532
Y3 0.4361 0.7281 0.7281
Y4 0.9745 0.7468 0.7468
Y5 0.0000 0.6448 0.3552
Y6 0.0000 0.3552 0.6448
Y7 0.5000 0.7510 0.2490
Y8 0.5639 0.2719 0.2719
Tm1 0.5000 0.0000 0.0000
Tm2 0.0000 0.0000 0.5000
Tm3 0.0000 0.0000 0.0000
Tm4 0.0000 0.5000 0.0000
Sm1 0.5000 0.0000 0.5000
Sm2 0.5000 0.5000 0.0000
Sm3 0.5000 0.5000 0.5000

***

Entry 9:
Sm2Y2Tm15 after structural relaxation. Source: the Alexandria database, functional GGA-PBE.

Computed properties:
- DOS at the Fermi energy (states/eV per cell) = 37.6
- space-group type = No. 166

a = 8.6386 Å, b = 8.6386 Å, c = 8.6386 Å
α = 80.40°, β = 80.40°, γ = 80.40°
Fractional positions:
Tm1 0.3644 0.3644 0.8512
Tm2 0.3008 0.0000 0.6992
Tm3 0.8512 0.3644 0.3644
Tm4 0.0000 0.0000 0.5000
Tm5 0.0000 0.3008 0.6992
Tm6 0.6356 0.1488 0.6356
Tm7 0.3008 0.6992 0.0000
Tm8 0.6356 0.6356 0.1488
Tm9 0.0000 0.6992 0.3008
Tm10 0.0000 0.5000 0.0000
Tm11 0.1488 0.6356 0.6356
Tm12 0.3644 0.8512 0.3644
Tm13 0.6992 0.3008 0.0000
Tm14 0.6992 0.0000 0.3008
Tm15 0.5000 0.0000 0.0000
Sm1 0.6716 0.6716 0.6716
Sm2 0.3284 0.3284 0.3284
Y1 0.8959 0.8959 0.8959
Y2 0.1041 0.1041 0.1041

***

Entry 10:
SmY12Tm6 after structural relaxation. Source: the Alexandria database, functional GGA-PBE.

Computed properties:
- DOS at the Fermi energy (states/eV per cell) = 26.2
- excess energy over the best structure of this formula in the dataset (meV per atom) = 290
- space-group type = No. 166

a = 9.2963 Å, b = 9.2963 Å, c = 9.2963 Å
α = 107.76°, β = 107.76°, γ = 107.76°
Fractional positions:
Tm1 0.2678 0.6872 0.6872
Tm2 0.3128 0.3128 0.7322
Tm3 0.6872 0.2678 0.6872
Tm4 0.3128 0.7322 0.3128
Tm5 0.6872 0.6872 0.2678
Tm6 0.7322 0.3128 0.3128
Y1 0.6342 0.6342 0.8544
Y2 0.1113 0.5000 0.8887
Y3 0.5000 0.1113 0.8887
Y4 0.1456 0.3658 0.3658
Y5 0.8887 0.5000 0.1113
Y6 0.1113 0.8887 0.5000
Y7 0.8544 0.6342 0.6342
Y8 0.3658 0.1456 0.3658
Y9 0.6342 0.8544 0.6342
Y10 0.5000 0.8887 0.1113
Y11 0.8887 0.1113 0.5000
Y12 0.3658 0.3658 0.1456
Sm1 0.0000 0.0000 0.0000

***

Entry 11:
SmY3Tm6 after structural relaxation. Source: the Alexandria database, functional GGA-PBE.

Computed properties:
- DOS at the Fermi energy (states/eV per cell) = 28.4
- excess energy over the best structure of this formula in the dataset (meV per atom) = 0
- space-group type = No. 36

a = 6.1222 Å, b = 10.8917 Å, c = 10.8917 Å
α = 119.47°, β = 90.00°, γ = 90.00°
Fractional positions:
Y1 0.4588 0.9355 0.7197
Y2 0.4588 0.2803 0.0645
Y3 0.0675 0.3914 0.6086
Y4 0.5675 0.6086 0.3914
Y5 0.9588 0.7197 0.9355
Y6 0.9588 0.0645 0.2803
Tm1 0.4244 0.9517 0.0483
Tm2 0.3651 0.0353 0.4583
Tm3 0.0261 0.7127 0.6164
Tm4 0.5261 0.2873 0.3836
Tm5 0.3651 0.5417 0.9647
Tm6 0.6381 0.2854 0.7146
Tm7 0.1381 0.7146 0.2854
Tm8 0.9244 0.0483 0.9517
Tm9 0.8651 0.9647 0.5417
Tm10 0.8651 0.4583 0.0353
Tm11 0.0261 0.3836 0.2873
Tm12 0.5261 0.6164 0.7127
Sm1 0.1555 0.2091 0.7909
Sm2 0.6555 0.7909 0.2091

***

Entry 12:
SmY3Tm6 after structural relaxation. Source: the Alexandria database, functional GGA-PBE.

Computed properties:
- DOS at the Fermi energy (states/eV per cell) = 19.7
- excess energy over the best structure of this formula in the dataset (meV per atom) = 168
- space-group type = No. 146

a = 9.7613 Å, b = 9.7613 Å, c = 6.8288 Å
α = 44.38°, β = 44.38°, γ = 60.00°
Fractional positions:
Tm1 0.9094 0.5707 0.2840
Tm2 0.7369 0.0713 0.7812
Tm3 0.2358 0.9094 0.2840
Tm4 0.4107 0.7369 0.7812
Tm5 0.0713 0.4107 0.7812
Tm6 0.5707 0.2358 0.2840
Sm1 0.8953 0.8953 0.3141
Y1 0.6373 0.6373 0.0880
Y2 0.1394 0.1394 0.5819
Y3 0.3932 0.3932 0.8203

***

no.,DFT formation energy (meV per atom),calculated volume (A^3/atom)
1,182,32.8
2,226,34.1
3,402,34.7
4,487,34.3
5,386,34.4
6,129,33.6
7,123,32.9
8,405,33.3
9,283,32.6
10,443,34.5
11,142,31.6
12,310,31.8